[1]
MnAlP | PBE | relaxed

a = 3.7718 Å, b = 3.7718 Å, c = 3.2002 Å
α = 90.00°, β = 90.00°, γ = 120.00°
Space group P-6m2 (No. 187)
Symmetry-distinct sites (fractional):
Mn: 0.0000 0.0000 0.0000 x1
Al: 0.3333 0.6667 0.5000 x1
P: 0.6667 0.3333 0.0000 x1

## Properties
**Spin magnetization**: 0.00 μB/f.u.

[2]
NaBeBi | PBE | relaxed

a = 14.527 Å, b = 4.709 Å, c = 4.873 Å
α = 90.00°, β = 90.00°, γ = 90.00°
Space group Pnma (No. 62)
Symmetry-distinct sites (fractional):
Na: 0.119 0.250 0.001 x4
Be: 0.000 0.000 0.500 x4
Bi: 0.146 0.750 0.501 x4

## Properties
**Spin magnetization**: 0.00 μB/f.u.

[3]
NdTi2Se4 | PBE | relaxed

a = 3.964 Å, b = 12.148 Å, c = 13.042 Å
α = 90.00°, β = 90.00°, γ = 90.00°
Space group Cmcm (No. 63)
Symmetry-distinct sites (fractional):
Nd: 0.000 0.132 0.250 x4
Ti: 0.000 0.385 0.059 x8
Se: 0.000 0.000 0.000 x4
Se: 0.000 0.265 0.609 x8
Se: 0.000 0.449 0.250 x4

## Properties
**Spin magnetization**: 2.07 μB/f.u.

[4]
KInGaBi2 | PBE | relaxed

a = 4.976 Å, b = 4.976 Å, c = 14.292 Å
α = 90.00°, β = 90.00°, γ = 90.00°
Space group I-4m2 (No. 119)
Symmetry-distinct sites (fractional):
K: 0.000 0.000 0.000 x2
In: 0.000 0.500 0.250 x2
Ga: 0.000 0.500 0.750 x2
Bi: 0.000 0.000 0.373 x4

## Properties
**Spin magnetization**: 0.00 μB/f.u.

Raw total energy / eV per atom: -6.32 -2.81 -6.24 -3.10